Record 1
Density functional theory data (PBE) for a relaxed structure of RbAuI6.

Cell lengths 9.458, 8.744, 9.467 Å; angles 70.05, 35.94, 72.64 degrees
Sites, in units of the cell vectors:
I1 0.867 0.513 0.843
I2 0.819 0.803 0.387
I3 0.133 0.487 0.157
I4 0.397 0.191 0.974
I5 0.603 0.809 0.026
I6 0.181 0.197 0.613
Au1 0.000 0.000 0.000
Rb1 0.500 0.500 0.500

Calculated values
V   53.9 A^3/atom
ΔE_f (raw)   -385 meV/atom
Spin magnetization   0.00 μB per formula unit
Calculated total energy   -2.08 eV/atom
Offset from the most stable computed form   0.00 eV/f.u.

***

Record 2
Density functional theory data (PBE) for a relaxed structure of Ce3Ge4Ru2.

Cell lengths 4.308, 5.917, 8.346 Å; angles 107.68, 90.00, 111.35 degrees
Sites, in units of the cell vectors:
Ge1 0.094 0.187 0.393
Ge2 0.906 0.813 0.607
Ge3 0.711 0.422 0.073
Ge4 0.289 0.578 0.927
Ru1 0.694 0.387 0.362
Ru2 0.306 0.613 0.638
Ce1 0.375 0.750 0.312
Ce2 0.000 0.000 0.000
Ce3 0.625 0.250 0.688

Calculated values
V   20.8 A^3/atom
Density of states at the Fermi level   1.421 states/eV/atom
Spin magnetization   0.96 μB per formula unit
ΔH_f (0 K)   -0.70 eV per atom
Calculated total energy   -6.79 eV/atom